SCAN MnFe4Ru, single point on PBEsol structure; DOS at the Fermi energy = 2.69 states/eV/f.u.; magnetization = 5.24 μB per formula unit; total DFT energy (no corrections) = -125.47 eV for the cell shown
1.0
0.000 3.238 3.238
3.238 0.000 3.238
3.238 3.238 0.000
Mn Fe Ru
1 4 1
Direct
0.000 0.000 0.000
0.375 0.375 0.375
0.375 0.375 0.875
0.375 0.875 0.375
0.875 0.375 0.375
0.750 0.750 0.750